Below is a geometry-optimized Pm6NdTm5 structure, with properties calculated at the GGA-PBE level.

Cell: 5.088 10.065 9.480 Å, 122.07 105.57 90.00°
Fractional positions:
Tm  0.668  0.168  0.335
Tm  0.333  0.333  0.666
Tm  0.000  0.500  0.000
Tm  0.667  0.667  0.334
Tm  0.332  0.832  0.665
Nd  0.000  0.000  0.000
Pm  0.833  0.581  0.666
Pm  0.833  0.085  0.666
Pm  0.500  0.747  0.000
Pm  0.500  0.253  0.000
Pm  0.167  0.915  0.334
Pm  0.167  0.419  0.334

Properties
Calculated formation energy = 0.019 eV per atom
Fermi-level density of states = 16.1 states/eV/cell
Crystal system = orthorhombic
Symmetry = Immm
Raw total energy = -4.62 eV/atom